LiZn2Rh PBE-GGA relaxed; mass density = 7.19 g cm⁻³; VASP energy = -3.298 eV/atom; volume = 55.60 Å³/f.u.; SG = P4/mmm, No. 123; total magnetization = 0.00 μB/cell; ΔE_f = -0.34 eV per atom; energy above the lowest structure with this stoichiometry = 66 meV per atom
1.0
-2.3353 -0.6792 1.8679
1.9319 -0.0987 2.3794
-0.9002 5.7626 0.9698
Li Zn Rh
1 2 1
Cartesian
-0.4267 1.0517 2.3661 Li
-0.4532 2.9014 0.4883 Zn
-0.8970 5.7424 0.9665 Zn
-0.8768 3.9330 2.8511 Rh